(1)
Computed, not measured: Mn2P after structural relaxation at the PBE-GGA level of DFT.

The structure in extended XYZ format:
```
6
Lattice="0.000 3.306 3.306 3.306 0.000 3.306 3.306 3.306 0.000" Properties=species:S:1:pos:R:3 pbc="T T T"
Mn 0.827 2.480 2.480
Mn 2.480 0.827 2.480
Mn 2.480 2.480 0.827
Mn 0.827 0.827 0.827
P 3.306 3.306 3.306
P 4.959 4.959 4.959
```

magnetic moment: 4.529 Bohr magnetons per cell
formation enthalpy at 0 K: 0.406 eV per atom



(2)
Computed, not measured: VCrNiOs after structural relaxation at the PBE-GGA level of DFT.

The structure in extended XYZ format:
```
4
Lattice="4.185 0.000 0.000 2.092 3.624 0.000 2.092 1.208 3.417" Properties=species:S:1:pos:R:3 pbc="T T T"
Ni 2.092 1.208 0.854
V 4.185 2.416 1.708
Cr 0.000 0.000 0.000
Os 6.277 3.624 2.563
```

magnetic moment: 2.687 Bohr magnetons per cell
formation enthalpy at 0 K: 0.009 eV per atom



(3)
Computed, not measured: BaMg2TlCu after structural relaxation at the PBE-GGA level of DFT.

The structure in extended XYZ format:
```
5
Lattice="-2.418 2.352 3.901 3.456 -1.929 3.305 3.051 4.283 -0.691" Properties=species:S:1:pos:R:3 pbc="T T T"
Tl 1.526 2.141 -0.346
Mg 1.728 -0.964 1.653
Mg -1.209 1.176 1.950
Cu 0.000 0.000 0.000
Ba 2.045 2.353 3.257
```

magnetic moment: 0.000 Bohr magnetons per cell
formation enthalpy at 0 K: -0.059 eV per atom



(4)
Computed, not measured: SrSb2TeOs after structural relaxation at the PBE-GGA level of DFT.

The structure in extended XYZ format:
```
5
Lattice="5.047 0.000 0.000 0.000 5.047 0.000 0.000 0.000 6.130" Properties=species:S:1:pos:R:3 pbc="T T T"
Sb 2.524 0.000 0.000
Sb 0.000 2.524 0.000
Sr 2.524 2.524 3.065
Os 0.000 0.000 0.000
Te 0.000 0.000 3.065
```

magnetic moment: 0.000 Bohr magnetons per cell
energy relative to the elements, uncorrected: -7.1 meV/atom
polymorph energy (0 for the lowest one): 0.0000 eV per atom



(5)
Computed, not measured: AgIrAu2 after structural relaxation at the PBE-GGA level of DFT.

The structure in extended XYZ format:
```
4
Lattice="-1.188 9.613 -1.261 -3.688 8.742 -2.320 -3.392 9.147 0.487" Properties=species:S:1:pos:R:3 pbc="T T T"
Ag -6.202 20.627 -2.321
Ir -2.067 6.876 -0.774
Au -8.254 27.454 -3.089
Au -4.149 13.799 -1.553
```

magnetic moment: 0.644 Bohr magnetons per cell
formation enthalpy at 0 K: 0.222 eV per atom
polymorph energy (0 for the lowest one): 0.0000 eV per atom



(6)
Computed, not measured: TlRe2BOs after structural relaxation at the PBE-GGA level of DFT.

The structure in extended XYZ format:
```
5
Lattice="-3.837 0.492 -2.962 -2.434 -3.324 2.601 -1.458 2.926 2.375" Properties=species:S:1:pos:R:3 pbc="T T T"
Os 0.000 0.000 0.000
Tl -3.865 0.047 1.007
B -0.729 1.463 1.187
Re -1.919 0.246 -1.481
Re -1.217 -1.662 1.301
```

magnetic moment: 1.735 Bohr magnetons per cell
formation enthalpy at 0 K: 1.753 eV per atom
polymorph energy (0 for the lowest one): 1.0461 eV per atom



(7)
Computed, not measured: AsIr2Ru after structural relaxation at the PBE-GGA level of DFT.

The structure in extended XYZ format:
```
4
Lattice="5.281 -0.007 0.001 2.618 4.587 -0.001 -3.408 -3.224 2.426" Properties=species:S:1:pos:R:3 pbc="T T T"
Ir 0.245 0.142 0.000
Ir 2.905 -0.475 1.213
Ru 3.699 2.144 0.000
As 1.593 1.834 1.212
```

magnetic moment: 0.000 Bohr magnetons per cell
formation enthalpy at 0 K: 0.207 eV per atom



(8)
Computed, not measured: ErGaNi3Ge after structural relaxation at the PBE-GGA level of DFT.

The structure in extended XYZ format:
```
12
Lattice="5.373 0.000 0.000 0.000 6.131 0.000 0.000 -3.066 5.765" Properties=species:S:1:pos:R:3 pbc="T T T"
Ge 1.343 0.000 4.176
Ge 4.030 3.066 1.590
Er 1.343 3.066 2.357
Er 4.030 0.000 3.408
Ni 0.000 1.846 0.000
Ni 1.343 0.000 1.825
Ni 0.000 4.286 0.000
Ni 4.030 3.066 3.940
Ni 2.687 1.846 0.000
Ni 2.687 4.286 0.000
Ga 4.030 0.000 0.583
Ga 1.343 3.066 5.182
```

magnetic moment: 0.000 Bohr magnetons per cell
formation enthalpy at 0 K: -0.359 eV per atom



(9)
Computed, not measured: CeAlZn4Cu2 after structural relaxation at the PBE-GGA level of DFT.

The structure in extended XYZ format:
```
8
Lattice="4.209 0.000 0.000 2.104 3.645 0.000 2.104 1.215 8.932" Properties=species:S:1:pos:R:3 pbc="T T T"
Al 4.209 2.430 4.466
Ce 0.000 0.000 0.000
Cu 2.104 1.215 2.636
Cu 6.313 3.645 6.296
Zn 4.209 2.430 7.098
Zn 6.313 3.645 3.292
Zn 4.209 2.430 1.833
Zn 2.104 1.215 5.640
```

magnetic moment: 0.802 Bohr magnetons per cell
formation enthalpy at 0 K: -0.095 eV per atom



(10)
Computed, not measured: NaBi2S3 after structural relaxation at the PBE-GGA level of DFT.

The structure in extended XYZ format:
```
12
Lattice="-0.634 2.416 -3.108 3.317 -6.455 -3.136 -10.412 -1.853 0.685" Properties=species:S:1:pos:R:3 pbc="T T T"
Bi 0.286 -3.872 -3.068
Bi -2.404 -2.421 -1.391
Bi -8.015 -2.020 -2.492
Bi -5.325 -3.472 -4.169
S -4.732 -1.292 -2.596
S 0.395 -4.132 -5.849
S -7.383 -4.839 -2.254
S -8.124 -1.761 0.290
S -0.346 -1.054 -3.306
S -2.997 -4.600 -2.963
Na -0.317 1.208 -1.554
Na -5.206 -0.927 0.342
```

magnetic moment: 0.000 Bohr magnetons per cell
energy relative to the elements, uncorrected: -486.8 meV/atom
polymorph energy (0 for the lowest one): 0.0374 eV per atom



(11)
Computed, not measured: CdMo2Au after structural relaxation at the PBE-GGA level of DFT.

The structure in extended XYZ format:
```
4
Lattice="-2.955 1.412 -0.520 -1.341 -2.991 -0.503 -1.330 -0.463 6.306" Properties=species:S:1:pos:R:3 pbc="T T T"
Mo -0.049 -0.017 0.233
Mo -2.440 -0.891 0.875
Cd -3.144 -1.136 4.210
Au -0.658 -0.229 3.118
```

magnetic moment: 0.000 Bohr magnetons per cell
formation enthalpy at 0 K: 0.235 eV per atom



(12)
Computed, not measured: Ho2HgBr after structural relaxation at the PBE-GGA level of DFT.

The structure in extended XYZ format:
```
4
Lattice="4.198 0.000 0.000 2.099 3.635 0.000 2.099 1.212 7.176" Properties=species:S:1:pos:R:3 pbc="T T T"
Ho 2.099 1.212 1.707
Ho 6.297 3.635 5.469
Hg 0.000 0.000 0.000
Br 4.198 2.424 3.588
```

magnetic moment: 0.000 Bohr magnetons per cell
energy relative to the elements, uncorrected: -649.8 meV/atom



(13)
Computed, not measured: Nd6Sm5Tm2 after structural relaxation at the PBE-GGA level of DFT.

The structure in extended XYZ format:
```
26
Lattice="-1.995 -2.952 0.738 8.097 -3.528 7.770 -9.920 10.479 15.095" Properties=species:S:1:pos:R:3 pbc="T T T"
Nd -5.240 7.628 16.342
Nd -2.976 3.563 6.206
Nd -1.525 6.321 21.156
Nd 0.273 -1.175 5.006
Nd -2.222 4.545 12.170
Nd -0.298 0.629 1.709
Nd 3.417 -0.677 6.524
Nd 0.398 2.405 10.695
Nd 2.117 -0.610 12.247
Nd -4.091 5.173 18.597
Nd 1.153 3.387 16.659
Nd -5.934 4.608 11.357
Tm -1.630 5.079 15.904
Tm -0.193 1.871 6.962
Tm -6.479 7.689 13.237
Tm 4.656 -0.738 9.629
Sm -1.283 3.404 19.112
Sm -5.957 3.763 7.917
Sm -4.883 4.695 14.545
Sm 3.051 -3.240 4.254
Sm -0.862 1.883 14.166
Sm -2.955 2.115 9.437
Sm -2.535 0.594 4.491
Sm 4.957 -3.730 7.443
Sm -8.774 7.729 16.160
Sm 1.065 -0.697 9.058
```

magnetic moment: 0.000 Bohr magnetons per cell
formation enthalpy at 0 K: 0.095 eV per atom



(14)
Computed, not measured: BaTiOs after structural relaxation at the PBE-GGA level of DFT.

The structure in extended XYZ format:
```
6
Lattice="-1.676 3.053 -2.632 -3.623 -0.605 2.926 3.648 6.320 5.188" Properties=species:S:1:pos:R:3 pbc="T T T"
Ba -0.236 5.144 4.144
Ba -1.655 3.018 -1.916
Ti -2.036 2.615 1.778
Ti 0.422 3.379 1.182
Os -2.022 4.999 0.952
Os -3.289 5.021 3.150
```

magnetic moment: 0.000 Bohr magnetons per cell
formation enthalpy at 0 K: 0.198 eV per atom
polymorph energy (0 for the lowest one): 0.1690 eV per atom



(15)
Computed, not measured: K4U3WN8 after structural relaxation at the PBE-GGA level of DFT.

The structure in extended XYZ format:
```
16
Lattice="-4.891 2.064 -4.285 -5.010 -0.241 5.603 5.541 3.862 0.966" Properties=species:S:1:pos:R:3 pbc="T T T"
U -2.180 2.842 1.142
U -4.951 0.911 0.659
U 0.266 1.810 3.284
N -5.240 1.742 -1.420
N -2.373 3.740 -0.920
N -1.986 1.944 3.204
N 0.046 2.641 1.219
N 0.881 3.943 3.704
N -2.710 0.674 0.797
N -4.406 3.044 1.065
N -1.650 5.011 1.487
K 0.325 2.963 -1.660
K -2.446 1.032 -2.142
K 0.000 0.000 0.000
K 2.771 1.931 0.483
W -2.505 -0.121 2.801
```

magnetic moment: 0.807 Bohr magnetons per cell
energy relative to the elements, uncorrected: -788.9 meV/atom



(16)
Computed, not measured: BaNa4Sr3 after structural relaxation at the PBE-GGA level of DFT.

The structure in extended XYZ format:
```
8
Lattice="-0.600 -4.352 1.171 2.743 0.585 3.579 -14.388 4.740 10.253" Properties=species:S:1:pos:R:3 pbc="T T T"
Na -5.441 1.793 3.878
Na -8.946 2.947 6.375
Na -1.930 0.636 1.375
Na -12.457 4.104 8.877
Sr -9.637 1.644 10.006
Sr -2.607 -0.672 4.996
Sr -6.122 0.486 7.501
Ba 1.072 -1.884 2.375
```

magnetic moment: 0.000 Bohr magnetons per cell
formation enthalpy at 0 K: 0.019 eV per atom
polymorph energy (0 for the lowest one): 0.0000 eV per atom



(17)
Computed, not measured: Na2Ag2Pb3 after structural relaxation at the PBE-GGA level of DFT.

The structure in extended XYZ format:
```
7
Lattice="4.664 0.000 0.000 -2.332 5.546 -0.152 0.000 -2.733 7.596" Properties=species:S:1:pos:R:3 pbc="T T T"
Na 0.000 -0.480 6.073
Na 2.332 3.293 1.371
Pb 0.000 2.614 4.060
Pb 2.332 0.200 3.383
Pb 2.332 0.000 0.000
Ag 2.332 1.869 5.874
Ag 0.000 0.945 1.570
```

magnetic moment: 0.000 Bohr magnetons per cell
formation enthalpy at 0 K: -0.040 eV per atom



(18)
Computed, not measured: Hg12Bi3I5 after structural relaxation at the PBE-GGA level of DFT.

The structure in extended XYZ format:
```
80
Lattice="16.083 0.000 0.000 -5.361 15.163 0.000 -5.361 -7.581 13.131" Properties=species:S:1:pos:R:3 pbc="T T T"
Hg 0.480 8.946 8.834
Hg 10.955 7.226 2.268
Hg 3.161 1.365 4.297
Hg 2.914 9.724 0.826
Hg -6.230 3.993 9.801
Hg 2.914 5.795 1.442
Hg -0.233 5.439 0.826
Hg -0.869 8.469 5.123
Hg -2.447 -0.356 10.863
Hg -0.480 0.751 3.235
Hg 7.561 8.195 7.532
Hg 7.808 7.937 2.268
Hg -1.812 4.881 11.339
Hg 2.835 9.779 5.740
Hg 2.525 -2.198 7.392
Hg -5.594 0.356 10.863
Hg -4.881 6.968 7.532
Hg 10.241 0.613 5.599
Hg 7.173 11.575 3.331
Hg 6.230 -0.888 8.008
Hg 7.886 3.710 4.773
Hg 5.841 6.830 9.897
Hg 2.200 6.217 8.834
Hg 5.594 -1.787 11.689
Hg -1.812 -3.993 9.801
Hg -0.155 5.384 5.740
Hg -5.206 11.453 4.773
Hg 2.447 1.787 11.689
Hg 10.877 1.512 0.967
Hg -3.161 8.333 9.897
Hg 10.567 -3.872 8.358
Hg 8.522 -0.751 3.235
Hg 7.886 13.651 0.967
Hg 4.881 -1.365 4.297
Hg 9.853 -4.881 11.339
Hg -2.200 -0.613 5.599
Hg 3.549 6.693 5.123
Hg -4.492 12.463 1.793
Hg 5.516 2.198 7.392
Hg -2.525 -6.070 12.165
Hg 1.812 0.888 8.008
Hg -0.233 9.368 1.442
Hg 7.173 2.700 1.793
Hg 11.590 3.588 3.331
Hg 5.594 2.142 12.305
Hg -2.525 3.872 8.358
Hg 2.447 -2.142 12.305
Hg -5.516 6.070 12.165
Bi -4.021 -2.843 11.490
Bi 6.701 0.948 4.924
Bi 1.340 -0.948 4.924
Bi -4.021 2.843 11.490
Bi -6.701 7.581 9.849
Bi 12.062 0.000 3.283
Bi 9.382 10.424 1.641
Bi 1.340 7.581 3.283
Bi 4.021 0.000 9.849
Bi 9.382 4.738 1.641
Bi 4.021 8.529 8.207
Bi -1.340 6.634 8.207
I -2.680 -3.791 6.566
I 9.382 -0.948 8.207
I 5.361 7.581 0.000
I 5.361 -3.791 6.566
I 1.340 4.738 11.490
I -2.680 7.581 0.000
I 8.041 0.000 0.000
I 1.340 -3.791 9.849
I -1.340 12.320 1.641
I 6.701 3.791 9.849
I 2.680 3.791 6.566
I -1.340 3.791 3.283
I 6.701 6.634 4.924
I -5.361 3.791 6.566
I -1.340 0.948 8.207
I 4.021 2.843 1.641
I 0.000 0.000 0.000
I 4.021 11.372 3.283
I 6.701 -4.738 11.490
I -4.021 8.529 4.924
```

magnetic moment: 0.000 Bohr magnetons per cell
energy relative to the elements, uncorrected: 22.6 meV/atom



(19)
Computed, not measured: Cs3Mg2Se4 after structural relaxation at the PBE-GGA level of DFT.

The structure in extended XYZ format:
```
9
Lattice="4.146 0.002 -1.157 -1.126 9.311 -4.053 0.525 -1.127 9.927" Properties=species:S:1:pos:R:3 pbc="T T T"
Mg 1.911 8.549 -1.161
Mg 1.634 -0.363 5.878
Se 1.392 6.857 -3.026
Se 2.557 7.434 1.155
Se 0.988 0.752 3.562
Se 2.153 1.329 7.743
Cs 0.000 0.000 0.000
Cs 3.551 3.164 4.742
Cs -0.005 5.022 -0.025
```

magnetic moment: 1.031 Bohr magnetons per cell
energy relative to the elements, uncorrected: -1120.3 meV/atom



(20)
Computed, not measured: BeNiRh2 after structural relaxation at the PBE-GGA level of DFT.

The structure in extended XYZ format:
```
8
Lattice="-2.868 0.343 2.192 -0.234 -3.609 0.259 3.450 -1.490 7.744" Properties=species:S:1:pos:R:3 pbc="T T T"
Ni 0.000 0.000 0.000
Ni -0.484 -1.390 5.581
Rh 1.423 -2.369 6.729
Rh -0.938 -0.612 3.323
Rh 0.337 -2.583 2.388
Rh -0.125 -3.949 7.951
Be 0.833 -3.366 4.614
Be -1.551 -1.633 1.226
```

magnetic moment: 0.000 Bohr magnetons per cell
formation enthalpy at 0 K: 0.329 eV per atom